Entry from Alexandria: a geometry-optimized BaAsRu2 structure (PBE).

a b c (Å): 3.0836 5.5420 10.0383
angles (deg): 90.00 90.00 90.00
Fractional coordinates of all 8 atoms:
1 Ba 0.0000 0.0000 0.0000
2 Ba 0.5000 0.5000 0.5000
3 As 0.0000 0.5000 0.2119
4 As 0.5000 0.0000 0.7119
5 Ru 0.0000 0.0000 0.5141
6 Ru 0.0000 0.5000 0.8050
7 Ru 0.5000 0.0000 0.3050
8 Ru 0.5000 0.5000 0.0141

Density of states at the Fermi level, states/eV/cell: 9.65
Formation energy, eV/f.u.: 2.13
Spin magnetization, μB/f.u.: 1.3